The following is a DFT calculation (PBE-GGA) of a geometry-optimized Cs2RbOF structure.

Cell lengths 7.3069, 7.3069, 10.3044 Å; angles 90.00, 90.00, 146.48 degrees
With the nearest neighbours (Å) after each atom.
Fractional coordinates of all 10 atoms:
Cs 0.1325 0.8675 0.5567  2 O 2.87
Cs 0.1325 0.8675 0.9433  2 O 2.87
Cs 0.8675 0.1325 0.0567  2 O 2.87
Cs 0.8675 0.1325 0.4433  2 O 2.87
Rb 0.4088 0.5912 0.7500  2 F 2.76, 2 O 2.87
Rb 0.5912 0.4088 0.2500  2 F 2.76, 2 O 2.87
O 0.5000 0.5000 0.0000  4 Cs 2.87, 2 Rb 2.87
O 0.5000 0.5000 0.5000  4 Cs 2.87, 2 Rb 2.87
F 0.2189 0.7811 0.2500  2 Rb 2.76
F 0.7811 0.2189 0.7500  2 Rb 2.76

**Total DFT energy (no corrections)**: -3.5017 eV per atom
**Raw formation energy**: -154.5 kJ per mole of atoms

The following is a DFT calculation (PBE-GGA) of a geometry-optimized CsRb6OF structure.

Cell lengths 7.6453, 7.6453, 11.5980 Å; angles 90.00, 90.00, 120.00 degrees
With the nearest neighbours (Å) after each atom.
Fractional coordinates of all 9 atoms:
Cs 0.0000 0.0000 0.0000  6 Rb 5.11
Rb 0.0148 0.3875 0.3626  1 O 2.80, 1 F 2.95
Rb 0.0148 0.6273 0.6374  1 O 2.80, 1 F 2.95
Rb 0.3727 0.3875 0.6374  1 O 2.80, 1 F 2.95
Rb 0.3727 0.9852 0.3626  1 O 2.80, 1 F 2.95
Rb 0.6125 0.6273 0.3626  1 O 2.80, 1 F 2.95
Rb 0.6125 0.9852 0.6374  1 O 2.80, 1 F 2.95
O 0.3333 0.6667 0.5000  6 Rb 2.80
F 0.6667 0.3333 0.5000  6 Rb 2.95

**Total DFT energy (no corrections)**: -2.3574 eV per atom
**Raw formation energy**: -82.8 kJ per mole of atoms

The following is a DFT calculation (PBE-GGA) of a geometry-optimized Cs3RbOF2 structure.

Cell lengths 8.7306, 8.7306, 8.7306 Å; angles 143.93, 141.60, 53.70 degrees
With the nearest neighbours (Å) after each atom.
Fractional coordinates of all 7 atoms:
Cs 0.0000 0.0000 0.0000  2 O 2.87
Cs 0.3218 0.8218 0.5000  1 O 2.78, 1 F 2.90
Cs 0.6782 0.1782 0.5000  1 O 2.78, 1 F 2.90
Rb 0.5000 0.5000 0.0000  2 O 2.70
O 0.5000 0.0000 0.5000  2 Rb 2.70, 4 Cs 2.78-2.87
F 0.1359 0.6359 0.5000  1 Cs 2.90
F 0.8641 0.3641 0.5000  1 Cs 2.90

**Total DFT energy (no corrections)**: -3.5047 eV per atom
**Raw formation energy**: -169.6 kJ per mole of atoms

The following is a DFT calculation (PBE-GGA) of a geometry-optimized CsRbOF2 structure.

Cell lengths 5.2696, 5.2696, 4.3963 Å; angles 90.00, 90.00, 90.00 degrees
With the nearest neighbours (Å) after each atom.
Fractional coordinates of all 5 atoms:
Cs 0.0000 0.0000 0.0000  2 O 2.20
Rb 0.5000 0.5000 0.5000  8 F 3.43, 4 O 3.73
O 0.0000 0.0000 0.5000  2 Cs 2.20
F 0.0000 0.5000 0.0000  2 Cs 2.63
F 0.5000 0.0000 0.0000  2 Cs 2.63

**Total DFT energy (no corrections)**: -3.4749 eV per atom
**Raw formation energy**: -132.2 kJ per mole of atoms

The following is a DFT calculation (PBE-GGA) of a geometry-optimized Cs6Rb2OF structure.

Cell lengths 9.7049, 9.7234, 10.5447 Å; angles 104.50, 102.28, 119.23 degrees
With the nearest neighbours (Å) after each atom.
Fractional coordinates of all 10 atoms:
Cs 0.0000 0.0000 0.0000  1 O 2.65
Cs 0.0337 0.0299 0.5943  1 O 2.74
Cs 0.1525 0.5808 0.7349  1 F 2.75
Cs 0.5140 0.4992 0.0128  1 F 2.75
Cs 0.5692 0.5655 0.5945  1 O 2.74
Cs 0.6602 0.0706 0.7311  1 O 2.65
Rb 0.1180 0.6203 0.2382  2 Rb 4.89-4.94, 10 Cs 5.23-5.46
Rb 0.6148 0.1176 0.2380  2 Rb 4.89-4.94, 10 Cs 5.23-5.46
O 0.8198 0.9147 0.7324  4 Cs 2.65-2.74
F 0.3208 0.4212 0.7406  2 Cs 2.75

**Total DFT energy (no corrections)**: -2.2025 eV per atom
**Raw formation energy**: -78.5 kJ per mole of atoms

The following is a DFT calculation (PBE-GGA) of a geometry-optimized Cs8RbO2F structure.

Cell lengths 8.9282, 8.9282, 12.7667 Å; angles 90.00, 90.00, 120.00 degrees
With the nearest neighbours (Å) after each atom.
Fractional coordinates of all 12 atoms:
Cs 0.1688 0.3375 0.3471  1 O 2.69
Cs 0.1688 0.8312 0.3471  1 O 2.69
Cs 0.3333 0.6667 0.0718  1 O 2.65
Cs 0.3375 0.1688 0.6529  1 O 2.69
Cs 0.6625 0.8312 0.3471  1 O 2.69
Cs 0.6667 0.3333 0.9282  1 O 2.65
Cs 0.8312 0.1688 0.6529  1 O 2.69
Cs 0.8312 0.6625 0.6529  1 O 2.69
Rb 0.0000 0.0000 0.0000  12 Cs 5.14-5.24
O 0.3333 0.6667 0.2795  4 Cs 2.65-2.69
O 0.6667 0.3333 0.7205  4 Cs 2.65-2.69
F 0.0000 0.0000 0.5000  6 Cs 3.26

**Total DFT energy (no corrections)**: -2.5285 eV per atom
**Raw formation energy**: -86.5 kJ per mole of atoms

The following is a DFT calculation (PBE-GGA) of a geometry-optimized CsRe3O6F10 structure.

Cell lengths 7.3894, 10.1512, 10.7526 Å; angles 114.52, 90.54, 92.37 degrees
With the nearest neighbours (Å) after each atom.
Fractional coordinates of all 40 atoms:
Cs 0.1899 0.2071 0.1205  10 F 3.12-3.37
Cs 0.8101 0.7929 0.8795  10 F 3.12-3.37
Re 0.2447 0.4847 0.6774  2 O 1.70-1.71, 2 F 1.88
Re 0.2585 0.7262 0.1131  2 O 1.70-1.72, 2 F 1.89
Re 0.2752 0.8721 0.6351  2 O 1.70-1.72, 2 F 1.88-1.90
Re 0.7248 0.1279 0.3649  2 O 1.70-1.72, 2 F 1.88-1.90
Re 0.7415 0.2738 0.8869  2 O 1.70-1.72, 2 F 1.89
Re 0.7553 0.5153 0.3226  2 O 1.70-1.71, 2 F 1.88
O 0.2433 0.4150 0.5029  1 Re 1.71
O 0.2716 0.8327 0.2843  1 Re 1.70
O 0.2967 0.3393 0.7093  1 Re 1.70
O 0.3064 0.5582 0.1041  1 Re 1.72
O 0.3365 0.0198 0.6051  1 Re 1.70
O 0.3703 0.7326 0.5025  1 Re 1.72
O 0.6297 0.2674 0.4975  1 Re 1.72
O 0.6635 0.9802 0.3949  1 Re 1.70
O 0.6936 0.4418 0.8959  1 Re 1.72
O 0.7033 0.6607 0.2907  1 Re 1.70
O 0.7284 0.1673 0.7157  1 Re 1.70
O 0.7567 0.5850 0.4971  1 Re 1.71
F 0.0048 0.6874 0.0950  1 Re 1.89
F 0.0080 0.5273 0.3039  1 Re 1.88
F 0.0400 0.8362 0.5555  1 Re 1.88
F 0.1433 0.9667 0.8040  1 Re 1.96
F 0.1781 0.6894 0.6896  2 Re 2.11-2.26
F 0.1950 0.8775 0.0536  1 Re 1.96
F 0.2293 0.6111 0.8877  2 Re 2.09-2.21
F 0.4656 0.8897 0.7616  1 Re 1.90
F 0.4790 0.5744 0.7093  1 Re 1.88
F 0.4942 0.7685 0.0682  1 Re 1.89
F 0.5058 0.2315 0.9318  1 Re 1.89
F 0.5210 0.4256 0.2908  1 Re 1.88
F 0.5344 0.1103 0.2384  1 Re 1.90
F 0.7707 0.3889 0.1123  2 Re 2.09-2.21
F 0.8050 0.1225 0.9464  1 Re 1.96
F 0.8219 0.3106 0.3104  2 Re 2.11-2.26
F 0.8567 0.0333 0.1960  1 Re 1.96
F 0.9600 0.1638 0.4445  1 Re 1.88
F 0.9920 0.4727 0.6961  1 Re 1.88
F 0.9952 0.3126 0.9050  1 Re 1.89

**Total DFT energy (no corrections)**: -6.4306 eV per atom
**Raw formation energy**: -202.4 kJ per mole of atoms

The following is a DFT calculation (PBE-GGA) of a geometry-optimized Cs2ReO2F4 structure.

Cell lengths 6.3579, 6.3579, 5.1797 Å; angles 91.52, 91.52, 60.43 degrees
With the nearest neighbours (Å) after each atom.
Fractional coordinates of all 9 atoms:
Cs 0.1699 0.1699 0.3031  8 F 3.20-3.35, 4 O 3.26-3.42
Cs 0.8301 0.8301 0.6969  8 F 3.20-3.35, 4 O 3.26-3.42
Re 0.5000 0.5000 0.0000  2 O 1.80, 4 F 1.99
O 0.3639 0.3639 0.7990  1 Re 1.80
O 0.6361 0.6361 0.2010  1 Re 1.80
F 0.2033 0.6538 0.2117  1 Re 1.99
F 0.3462 0.7967 0.7883  1 Re 1.99
F 0.6538 0.2033 0.2117  1 Re 1.99
F 0.7967 0.3462 0.7883  1 Re 1.99

**Total DFT energy (no corrections)**: -5.8054 eV per atom
**Raw formation energy**: -221.8 kJ per mole of atoms

The following is a DFT calculation (PBE-GGA) of a geometry-optimized Cs5ReO4F2 structure.

Cell lengths 8.2820, 6.6250, 6.6250 Å; angles 114.41, 90.00, 90.00 degrees
With the nearest neighbours (Å) after each atom.
Fractional coordinates of all 12 atoms:
Cs 0.0000 0.0000 0.0000  2 F 2.97, 2 O 3.05
Cs 0.2641 0.2995 0.6634  2 F 2.95-2.97, 3 O 3.03-3.26
Cs 0.2641 0.6634 0.2995  2 F 2.95-2.97, 3 O 3.03-3.26
Cs 0.7359 0.2995 0.6634  2 F 2.95-2.97, 3 O 3.03-3.26
Cs 0.7359 0.6634 0.2995  2 F 2.95-2.97, 3 O 3.03-3.26
Re 0.5000 0.9903 0.9903  4 O 1.84-1.89
O 0.3366 0.1740 0.1740  1 Re 1.89
O 0.5000 0.7037 0.9687  1 Re 1.84
O 0.5000 0.9687 0.7037  1 Re 1.84
O 0.6634 0.1740 0.1740  1 Re 1.89
F 0.0000 0.5380 0.9658  5 Cs 2.95-2.97
F 0.0000 0.9658 0.5380  5 Cs 2.95-2.97

**Total DFT energy (no corrections)**: -5.2299 eV per atom
**Raw formation energy**: -180.6 kJ per mole of atoms

The following is a DFT calculation (PBE-GGA) of a geometry-optimized CsReOF6 structure.

Cell lengths 8.1643, 7.3563, 10.9757 Å; angles 90.00, 92.73, 90.00 degrees
With the nearest neighbours (Å) after each atom.
Fractional coordinates of all 36 atoms:
Cs 0.2223 0.2399 0.4989  10 F 3.11-3.47, 1 O 3.40
Cs 0.2223 0.2601 0.9989  10 F 3.11-3.47, 1 O 3.40
Cs 0.7777 0.7399 0.0011  10 F 3.11-3.47, 1 O 3.40
Cs 0.7777 0.7601 0.5011  10 F 3.11-3.47, 1 O 3.40
Re 0.2783 0.7102 0.7585  1 O 1.71
Re 0.2783 0.7898 0.2585  1 O 1.71
Re 0.7217 0.2102 0.7415  1 O 1.71
Re 0.7217 0.2898 0.2415  1 O 1.71
O 0.4280 0.7292 0.6556  1 Re 1.71
O 0.4280 0.7708 0.1556  1 Re 1.71
O 0.5720 0.2292 0.8444  1 Re 1.71
O 0.5720 0.2708 0.3444  1 Re 1.71
F 0.1095 0.6435 0.6363  1 Re 1.94
F 0.1095 0.8565 0.1363  1 Re 1.94
F 0.1106 0.6772 0.8779  1 Re 1.95
F 0.1106 0.8228 0.3779  1 Re 1.95
F 0.1660 0.5706 0.2062  1 Re 1.93
F 0.1660 0.9294 0.7062  1 Re 1.93
F 0.2715 0.0548 0.2456  1 Re 1.96
F 0.2715 0.4452 0.7456  1 Re 1.96
F 0.3593 0.5929 0.3615  1 Re 1.93
F 0.3593 0.9071 0.8615  1 Re 1.93
F 0.4275 0.6088 0.8840  1 Re 1.94
F 0.4275 0.8912 0.3840  1 Re 1.94
F 0.5725 0.1088 0.6160  1 Re 1.94
F 0.5725 0.3912 0.1160  1 Re 1.94
F 0.6407 0.0929 0.1385  1 Re 1.93
F 0.6407 0.4071 0.6385  1 Re 1.93
F 0.7285 0.5548 0.2544  1 Re 1.96
F 0.7285 0.9452 0.7544  1 Re 1.96
F 0.8340 0.0706 0.2938  1 Re 1.93
F 0.8340 0.4294 0.7938  1 Re 1.93
F 0.8894 0.1772 0.6221  1 Re 1.95
F 0.8894 0.3228 0.1221  1 Re 1.95
F 0.8905 0.1435 0.8637  1 Re 1.94
F 0.8905 0.3565 0.3637  1 Re 1.94

**Total DFT energy (no corrections)**: -5.5855 eV per atom
**Raw formation energy**: -222.8 kJ per mole of atoms

The following is a DFT calculation (PBE-GGA) of a geometry-optimized Cs5RhO4F2 structure.

Cell lengths 8.4741, 6.4915, 6.4915 Å; angles 113.39, 90.00, 90.00 degrees
With the nearest neighbours (Å) after each atom.
Fractional coordinates of all 12 atoms:
Cs 0.0000 0.0000 0.0000  2 O 2.94, 2 F 2.97
Cs 0.2657 0.3105 0.6785  2 F 2.95-3.01, 3 O 2.99-3.21
Cs 0.2657 0.6785 0.3105  2 F 2.95-3.01, 3 O 2.99-3.21
Cs 0.7343 0.3105 0.6785  2 F 2.95-3.01, 3 O 2.99-3.21
Cs 0.7343 0.6785 0.3105  2 F 2.95-3.01, 3 O 2.99-3.21
Rh 0.5000 0.0027 0.0027  4 O 1.87-1.88
O 0.3214 0.1568 0.1568  1 Rh 1.87
O 0.5000 0.7038 0.9773  1 Rh 1.88
O 0.5000 0.9773 0.7038  1 Rh 1.88
O 0.6786 0.1568 0.1568  1 Rh 1.87
F 0.0000 0.5336 0.9763  5 Cs 2.95-3.01
F 0.0000 0.9763 0.5336  5 Cs 2.95-3.01

**Total DFT energy (no corrections)**: -4.5089 eV per atom
**Raw formation energy**: -152.1 kJ per mole of atoms

The following is a DFT calculation (PBE-GGA) of a geometry-optimized Cs5RuO4F2 structure.

Cell lengths 8.4500, 6.5029, 6.5029 Å; angles 113.52, 90.00, 90.00 degrees
With the nearest neighbours (Å) after each atom.
Fractional coordinates of all 12 atoms:
Cs 0.0000 0.0000 0.0000  2 O 2.96, 2 F 2.97
Cs 0.2657 0.3069 0.6746  2 F 2.95-3.00, 3 O 2.99-3.22
Cs 0.2657 0.6746 0.3069  2 F 2.95-3.00, 3 O 2.99-3.22
Cs 0.7343 0.3069 0.6746  2 F 2.95-3.00, 3 O 2.99-3.22
Cs 0.7343 0.6746 0.3069  2 F 2.95-3.00, 3 O 2.99-3.22
Ru 0.5000 0.0004 0.0004  4 O 1.86
O 0.3242 0.1570 0.1570  1 Ru 1.86
O 0.5000 0.7047 0.9751  1 Ru 1.86
O 0.5000 0.9751 0.7047  1 Ru 1.86
O 0.6758 0.1570 0.1570  1 Ru 1.86
F 0.0000 0.5332 0.9728  5 Cs 2.95-3.00
F 0.0000 0.9728 0.5332  5 Cs 2.95-3.00

**Total DFT energy (no corrections)**: -4.7902 eV per atom
**Raw formation energy**: -163.7 kJ per mole of atoms